[1]
Below is AlZn2BI after structural relaxation, with properties calculated at the PBE level.

Properties
E_form (uncorrected) in eV per atom: 1.191
Space group: P4/mmm

Lattice parameters (Å, degrees): 4.8672 5.9514 4.8672 90.00 90.00 90.00
Last column: nearest neighbours and their distance in Å.
Sites, in units of the cell vectors:
B (0.5000, 0.5000, 0.5000)  4 I 3.44, 8 Zn 3.84
Zn (0.0000, 0.0000, 0.5000)  2 Al 2.43
I (0.0000, 0.5000, 0.0000)  2 Al 2.98
Al (0.0000, 0.0000, 0.0000)  4 Zn 2.43
Zn (0.5000, 0.0000, 0.0000)  2 Al 2.43

[2]
Below is Al2InB after structural relaxation, with properties calculated at the PBE level.

Properties
Formation enthalpy at 0 K in eV/atom: 0.903
Space group: Fm-3m

Lattice parameters (Å, degrees): 4.5792 4.5792 4.5792 60.00 60.00 60.00
Last column: nearest neighbours and their distance in Å.
Sites, in units of the cell vectors:
Al (0.2500, 0.2500, 0.2500)  4 In 2.80, 4 B 2.80
Al (0.7500, 0.7500, 0.7500)  4 In 2.80, 4 B 2.80
In (0.5000, 0.5000, 0.5000)  8 Al 2.80
B (0.0000, 0.0000, 0.0000)  8 Al 2.80

[3]
Below is AlInB after structural relaxation, with properties calculated at the PBE level.

Properties
Formation enthalpy at 0 K in eV/atom: 1.055
Space group: F-43m

Lattice parameters (Å, degrees): 4.2637 4.2637 4.2637 60.00 60.00 60.00
Last column: nearest neighbours and their distance in Å.
Sites, in units of the cell vectors:
Al (0.7500, 0.7500, 0.7500)  4 In 2.61, 4 B 2.61
B (0.0000, 0.0000, 0.0000)  4 Al 2.61
In (0.5000, 0.5000, 0.5000)  4 Al 2.61

[4]
Below is Al2InB after structural relaxation, with properties calculated at the PBE level.

Properties
Formation enthalpy at 0 K in eV/atom: 0.429
Space group: I-42d

Lattice parameters (Å, degrees): 6.1336 6.1336 6.2121 60.42 60.42 90.00
Last column: nearest neighbours and their distance in Å.
Sites, in units of the cell vectors:
Al (0.3750, 0.5001, 0.7500)  2 B 2.04
Al (0.8750, 0.7499, 0.7500)  2 B 2.04
Al (0.2501, 0.6250, 0.2500)  2 B 2.04
In (0.0000, 0.0000, 0.0000)  4 Al 2.98
B (0.5000, 0.5000, 0.0000)  4 Al 2.04
B (0.2500, 0.7500, 0.5000)  4 Al 2.04
In (0.7500, 0.2500, 0.5000)  4 Al 2.98
Al (0.4999, 0.1250, 0.2500)  2 B 2.04

[5]
Below is AlInB3 after structural relaxation, with properties calculated at the PBE level.

Properties
Formation enthalpy at 0 K in eV/atom: 2.256
Space group: Pm-3m

Lattice parameters (Å, degrees): 4.5034 4.5034 4.5034 90.00 90.00 90.00
Last column: nearest neighbours and their distance in Å.
Sites, in units of the cell vectors:
Al (0.5000, 0.5000, 0.5000)  12 B 3.18
In (0.0000, 0.0000, 0.0000)  6 B 2.25
B (0.5000, 0.0000, 0.0000)  2 In 2.25
B (0.0000, 0.0000, 0.5000)  2 In 2.25
B (0.0000, 0.5000, 0.0000)  2 In 2.25

[6]
Below is AlInB3 after structural relaxation, with properties calculated at the PBE level.

Properties
Formation enthalpy at 0 K in eV/atom: 1.617
Space group: Pm-3m

Lattice parameters (Å, degrees): 4.2411 4.2411 4.2411 90.00 90.00 90.00
Last column: nearest neighbours and their distance in Å.
Sites, in units of the cell vectors:
Al (0.0000, 0.0000, 0.0000)  6 B 2.12
B (0.5000, 0.0000, 0.0000)  2 Al 2.12
B (0.0000, 0.0000, 0.5000)  2 Al 2.12
B (0.0000, 0.5000, 0.0000)  2 Al 2.12
In (0.5000, 0.5000, 0.5000)  12 B 3.00

[7]
Below is Al3InB4O12 after structural relaxation, with properties calculated at the PBE level.

Properties
E_form (uncorrected) in eV per atom: -2.538
Space group: R32

Lattice parameters (Å, degrees): 5.9022 5.9022 5.9022 104.53 104.53 104.53
Last column: nearest neighbours and their distance in Å.
Sites, in units of the cell vectors:
B (0.0536, 0.5000, 0.9464)  3 O 1.37-1.39
O (0.3515, 0.6485, 0.5000)  1 B 1.39
O (0.3659, 0.9686, 0.2152)  1 B 1.39
In (0.0000, 0.0000, 0.0000)  6 O 2.29
O (0.0934, 0.9066, 0.5000)  1 B 1.37
O (0.9066, 0.5000, 0.0934)  1 B 1.37
O (0.2152, 0.3659, 0.9686)  1 B 1.39
B (0.5000, 0.5000, 0.5000)  3 O 1.39
B (0.9464, 0.0536, 0.5000)  3 O 1.37-1.39
O (0.7848, 0.0314, 0.6341)  1 B 1.39
O (0.5000, 0.3515, 0.6485)  1 B 1.39
Al (0.0000, 0.5558, 0.4442)  6 O 1.90-1.93
Al (0.5558, 0.4442, 0.0000)  6 O 1.90-1.93
O (0.6485, 0.5000, 0.3515)  1 B 1.39
O (0.0314, 0.6341, 0.7848)  1 B 1.39
B (0.5000, 0.9464, 0.0536)  3 O 1.37-1.39
Al (0.4442, 0.0000, 0.5558)  6 O 1.90-1.93
O (0.5000, 0.0934, 0.9066)  1 B 1.37
O (0.6341, 0.7848, 0.0314)  1 B 1.39
O (0.9686, 0.2152, 0.3659)  1 B 1.39

[8]
Below is AlInBSb2 after structural relaxation, with properties calculated at the PBE level.

Properties
E_form (uncorrected) in eV per atom: 1.185
Space group: P4/mmm

Lattice parameters (Å, degrees): 5.8358 4.1243 5.8358 90.00 90.00 90.00
Last column: nearest neighbours and their distance in Å.
Sites, in units of the cell vectors:
Al (0.5000, 0.5000, 0.5000)  8 Sb 3.57
In (0.0000, 0.0000, 0.0000)  2 B 2.06
Sb (0.0000, 0.0000, 0.5000)  2 In 2.92
B (0.0000, 0.5000, 0.0000)  2 In 2.06
Sb (0.5000, 0.0000, 0.0000)  2 In 2.92

[9]
Below is Sc2AlInB after structural relaxation, with properties calculated at the PBE level.

Properties
Formation enthalpy at 0 K in eV/atom: -0.364
Space group: P4/mmm

Lattice parameters (Å, degrees): 4.7349 4.7349 4.1435 90.00 90.00 90.00
Last column: nearest neighbours and their distance in Å.
Sites, in units of the cell vectors:
Al (0.0000, 0.0000, 0.5000)  2 B 2.07
Sc (0.5000, 0.0000, 0.0000)  2 B 2.37
Sc (0.0000, 0.5000, 0.0000)  2 B 2.37
In (0.5000, 0.5000, 0.5000)  8 Sc 3.15, 4 Al 3.35
B (0.0000, 0.0000, 0.0000)  2 Al 2.07

[10]
Below is Al2InSiB after structural relaxation, with properties calculated at the PBE level.

Properties
E_form (uncorrected) in eV per atom: 1.481
Space group: P4/mmm

Lattice parameters (Å, degrees): 5.3117 4.1262 5.3117 90.00 90.00 90.00
Last column: nearest neighbours and their distance in Å.
Sites, in units of the cell vectors:
Al (0.0000, 0.0000, 0.5000)  2 In 2.66
Si (0.5000, 0.5000, 0.5000)  8 Al 3.36, 4 B 3.76
In (0.0000, 0.0000, 0.0000)  2 B 2.06
Al (0.5000, 0.0000, 0.0000)  2 In 2.66
B (0.0000, 0.5000, 0.0000)  2 In 2.06

[11]
Below is AlIn2TcB after structural relaxation, with properties calculated at the PBE level.

Properties
Formation enthalpy at 0 K in eV/atom: 0.893
Space group: P4/mmm

Lattice parameters (Å, degrees): 4.7902 3.9043 4.7902 90.00 90.00 90.00
Last column: nearest neighbours and their distance in Å.
Sites, in units of the cell vectors:
In (0.0000, 0.0000, 0.5000)  2 B 2.40
In (0.5000, 0.0000, 0.0000)  2 B 2.40
B (0.0000, 0.0000, 0.0000)  2 Al 1.95
Tc (0.5000, 0.5000, 0.5000)  8 In 3.09, 4 Al 3.39
Al (0.0000, 0.5000, 0.0000)  2 B 1.95

[12]
Below is YAl2InB after structural relaxation, with properties calculated at the PBE level.

Properties
Formation enthalpy at 0 K in eV/atom: 0.241
Space group: P4/mmm

Lattice parameters (Å, degrees): 4.4285 4.9944 4.4285 90.00 90.00 90.00
Last column: nearest neighbours and their distance in Å.
Sites, in units of the cell vectors:
Al (0.5000, 0.0000, 0.0000)  2 B 2.21
Y (0.5000, 0.5000, 0.5000)  4 In 3.13, 8 Al 3.34
Al (0.0000, 0.0000, 0.5000)  2 B 2.21
In (0.0000, 0.5000, 0.0000)  2 B 2.50
B (0.0000, 0.0000, 0.0000)  4 Al 2.21

| no. | total magnetic moment (μB/cell) |
| --- | --- |
| 1 | 0.8 |
| 2 | 0.0 |
| 3 | 0.0 |
| 4 | 0.0 |
| 5 | 0.0 |
| 6 | 0.0 |
| 7 | 0.0 |
| 8 | 0.0 |
| 9 | 0.0 |
| 10 | 0.0 |
| 11 | 0.9 |
| 12 | 0.0 |